Entry 1:
The following is a DFT calculation (PBE) of crystalline TmSnAu at its relaxed geometry.

The structure in CIF format:
```
data_TmSnAu
_chemical_formula_sum 'Tm2 Sn2 Au2'
_symmetry_space_group_name_H-M 'I 4 m m'
_symmetry_Int_Tables_number 107
_symmetry_space_group_name_Hall 'I 4 -2'
_cell_length_a 3.506
_cell_length_b 3.506
_cell_length_c 11.589
_cell_angle_alpha 90.00
_cell_angle_beta 90.00
_cell_angle_gamma 90.00
loop_
_atom_site_label
_atom_site_fract_x
_atom_site_fract_y
_atom_site_fract_z
Tm1 0.000 0.000 0.000
Sn1 0.000 0.000 0.698
Au1 0.000 0.000 0.365
```

Magnetic moment = 0.000 μB/f.u.
Density = 11299 kg/m³
Final energy = -26.98 eV for the cell shown
Calculated formation energy = -0.58 eV per atom



Entry 2:
The following is a DFT calculation (PBE) of crystalline ErTm4Tl at its relaxed geometry.

The structure in CIF format:
```
data_ErTm4Tl
_chemical_formula_sum 'Er1 Tm4 Tl1'
_symmetry_space_group_name_H-M 'P 4/m m m'
_symmetry_Int_Tables_number 123
_symmetry_space_group_name_Hall '-P 4 2'
_cell_length_a 3.534
_cell_length_b 3.534
_cell_length_c 14.000
_cell_angle_alpha 90.00
_cell_angle_beta 90.00
_cell_angle_gamma 90.00
loop_
_atom_site_label
_atom_site_fract_x
_atom_site_fract_y
_atom_site_fract_z
Er1 0.000 0.000 0.000
Tm1 0.000 0.000 0.349
Tm2 0.500 0.500 0.175
Tl1 0.500 0.500 0.500
```

Magnetic moment = 0.000 μB/f.u.
Density = 9946 kg/m³
Final energy = -25.42 eV for the cell shown
Calculated formation energy = -0.10 eV per atom
Offset from the most stable computed form = 0.00 eV/f.u.



Entry 3:
The following is a DFT calculation (PBE) of crystalline HfTiH at its relaxed geometry.

The structure in CIF format:
```
data_HfTiH
_chemical_formula_sum 'Hf20 Ti20 H20'
_symmetry_space_group_name_H-M 'P 21 21 21'
_symmetry_Int_Tables_number 19
_cell_length_a 8.937
_cell_length_b 9.558
_cell_length_c 10.008
_cell_angle_alpha 90.00
_cell_angle_beta 90.00
_cell_angle_gamma 90.00
loop_
_symmetry_equiv_pos_as_xyz
'x,y,z'
'-x+1/2,-y,z+1/2'
'x+1/2,-y+1/2,-z'
'-x,y+1/2,-z+1/2'
loop_
_atom_site_label
_atom_site_fract_x
_atom_site_fract_y
_atom_site_fract_z
Hf1 0.067 0.056 0.079
Hf2 0.158 0.552 0.178
Hf3 0.168 0.336 0.942
Hf4 0.179 0.155 0.670
Hf5 0.186 0.045 0.381
Ti1 0.012 0.289 0.234
Ti2 0.041 0.493 0.699
Ti3 0.062 0.784 0.986
Ti4 0.158 0.788 0.678
Ti5 0.221 0.370 0.402
H1 0.015 0.418 0.085
H2 0.046 0.312 0.777
H3 0.138 0.354 0.587
H4 0.194 0.729 0.292
H5 0.240 0.854 0.507
```

Magnetic moment = 0.000 μB/f.u.
Density = 8833 kg/m³
Final energy = -429.90 eV for the cell shown
Offset from the most stable computed form = 0.24 eV/f.u.



Entry 4:
The following is a DFT calculation (PBE) of crystalline Cs2SbW at its relaxed geometry.

The structure in CIF format:
```
data_Cs2SbW
_chemical_formula_sum 'Cs8 Sb4 W4'
_symmetry_space_group_name_H-M 'F m -3 m'
_symmetry_Int_Tables_number 225
_symmetry_space_group_name_Hall '-F 4 2 3'
_cell_length_a 8.861
_cell_length_b 8.861
_cell_length_c 8.861
_cell_angle_alpha 90.00
_cell_angle_beta 90.00
_cell_angle_gamma 90.00
loop_
_atom_site_label
_atom_site_fract_x
_atom_site_fract_y
_atom_site_fract_z
Cs1 0.250 0.250 0.250
Sb1 0.000 0.000 0.000
W1 0.000 0.000 0.500
```

Magnetic moment = 4.267 μB/f.u.
Formation energy from raw total energies = 1.5114 eV/atom
Density = 5456 kg/m³
Final energy = -50.95 eV for the cell shown



Entry 5:
The following is a DFT calculation (PBE) of crystalline NpPbS2 at its relaxed geometry.

The structure in CIF format:
```
data_NpPbS2
_chemical_formula_sum 'Np3 Pb3 S6'
_symmetry_space_group_name_H-M 'R 3 m'
_symmetry_Int_Tables_number 160
_symmetry_space_group_name_Hall 'R 3 -2"'
_cell_length_a 3.8794
_cell_length_b 3.8794
_cell_length_c 23.9477
_cell_angle_alpha 90.00
_cell_angle_beta 90.00
_cell_angle_gamma 120.00
loop_
_atom_site_label
_atom_site_fract_x
_atom_site_fract_y
_atom_site_fract_z
Np1 0.0000 0.0000 0.0000
Pb1 0.0000 0.0000 0.1625
S1 0.0000 0.0000 0.3982
S2 0.0000 0.0000 0.6043
```

Magnetic moment = 3.794 μB/f.u.
Formation energy from raw total energies = -0.8685 eV/atom
Density = 8113 kg/m³
Final energy = -85.13 eV for the cell shown



Entry 6:
The following is a DFT calculation (PBE) of crystalline Ac2Al2Si at its relaxed geometry.

The structure in CIF format:
```
data_Ac2Al2Si
_chemical_formula_sum 'Ac4 Al4 Si2'
_symmetry_space_group_name_H-M 'A m m 2'
_symmetry_Int_Tables_number 38
_cell_length_a 4.597
_cell_length_b 4.197
_cell_length_c 14.290
_cell_angle_alpha 90.00
_cell_angle_beta 90.00
_cell_angle_gamma 90.00
loop_
_symmetry_equiv_pos_as_xyz
'x,y,z'
'-x,-y,z'
'-x,y,z'
'x,-y,z'
'x,y+1/2,z+1/2'
'-x,-y+1/2,z+1/2'
'-x,y+1/2,z+1/2'
'x,-y+1/2,z+1/2'
loop_
_atom_site_label
_atom_site_fract_x
_atom_site_fract_y
_atom_site_fract_z
Ac1 0.000 0.000 0.000
Ac2 0.000 0.000 0.252
Al1 0.500 0.000 0.627
Al2 0.500 0.000 0.829
Si1 0.500 0.000 0.429
```

Magnetic moment = 0.000 μB/f.u.
Formation energy from raw total energies = -0.4028 eV/atom
Density = 6457 kg/m³
Final energy = -46.28 eV for the cell shown
Offset from the most stable computed form = 0.00 eV/f.u.